Compound: YScTc2
Source: the Alexandria database
Functional: PBEsol
Structure: optimized geometry

Energy of formation, meV/atom: 209
Energy above the most stable polymorph in this dataset, eV/atom: 0.0092

The structure in extended XYZ format:
```
4
Lattice="3.291 0.000 0.000 0.000 4.381 0.000 0.000 0.000 4.895" Properties=species:S:1:pos:R:3 pbc="T T T"
Y 0.000 0.000 0.000
Sc 1.645 0.000 2.447
Tc 0.000 2.191 2.447
Tc 1.645 2.191 0.000
```